No. 1
DyYZr2Sb2: optimized geometry, PBE.

Cell and atoms, written as POSCAR:
```
DyYZr2Sb2
1.0
-2.1357 2.1357 8.3218
2.1357 -2.1357 8.3218
2.1357 2.1357 -8.3218
Zr Sb Dy Y
2 2 1 1
Direct
0.0001 0.5001 0.5000
0.5001 0.0001 0.5000
0.8669 0.8669 0.0000
0.1332 0.1332 0.0000
0.6770 0.6770 0.0000
0.3227 0.3227 0.0000
```

Uncorrected energy = -6.88 eV per atom
Space-group type = I4mm

---

No. 2
DyZrSb: optimized geometry, PBE.

Cell and atoms, written as POSCAR:
```
DyZrSb
1.0
-2.1364 2.1364 8.3142
2.1364 -2.1364 8.3142
2.1364 2.1364 -8.3142
Sb Zr Dy
2 2 2
Direct
0.1336 0.1336 0.0000
0.8665 0.8665 0.0000
0.5000 0.0000 0.5000
0.0000 0.5000 0.5000
0.6768 0.6768 0.0000
0.3229 0.3229 0.0000
```

Uncorrected energy = -6.56 eV per atom
Space-group type = I4/mmm

---

No. 3
DyZrSb: optimized geometry, PBE.

Cell and atoms, written as POSCAR:
```
DyZrSb
1.0
-2.1124 2.1124 8.2856
2.1124 -2.1124 8.2856
2.1124 2.1124 -8.2856
Dy Zr Sb
2 2 2
Direct
0.5000 0.0000 0.5000
0.0000 0.5000 0.5000
0.3200 0.3200 0.0000
0.6800 0.6800 0.0000
0.1431 0.1431 0.0000
0.8569 0.8569 0.0000
```

Uncorrected energy = -6.30 eV per atom
Space-group type = I4/mmm

---

No. 4
DyZrSb: optimized geometry, PBE.

Cell and atoms, written as POSCAR:
```
DyZrSb
1.0
0.0000 3.4790 3.4790
3.4790 0.0000 3.4790
3.4790 3.4790 0.0000
Sb Dy Zr
1 1 1
Direct
0.2500 0.2500 0.2500
0.5000 0.5000 0.5000
0.0000 0.0000 0.0000
```

Uncorrected energy = -6.08 eV per atom
Space-group type = F-43m

---

No. 5
Dy2Sc: optimized geometry, PBE.

Cell and atoms, written as POSCAR:
```
Dy2Sc
1.0
-2.7813 7.1458 4.9713
2.4823 0.7110 8.7661
5.9982 6.4074 2.5451
Dy Sc
4 2
Direct
0.3750 0.8750 0.8750
0.8750 0.8750 0.8750
0.8750 0.3750 0.8750
0.8750 0.8750 0.3750
0.0000 0.0000 0.0000
0.7500 0.7500 0.7500
```

Uncorrected energy = -2.79 eV per atom
Space-group type = Fd-3m
ΔH_f (0 K) = 2.39 eV per atom
Excess energy over the best structure of this formula in the dataset = 197.24 kJ per mole of atoms

---

No. 6
Dy2Sc: optimized geometry, PBE.

Cell and atoms, written as POSCAR:
```
Dy2Sc
1.0
0.0000 4.4762 4.4762
4.4762 0.0000 4.4762
4.4762 4.4762 0.0000
Dy Sc
4 2
Direct
0.6250 0.1250 0.6250
0.1250 0.6250 0.6250
0.6250 0.6250 0.1250
0.6250 0.6250 0.6250
0.0000 0.0000 0.0000
0.2500 0.2500 0.2500
```

Uncorrected energy = -4.83 eV per atom
Space-group type = Fd-3m
ΔH_f (0 K) = 0.34 eV per atom
Excess energy over the best structure of this formula in the dataset = 0.00 kJ per mole of atoms

---

No. 7
SmDySc: optimized geometry, PBE.

Cell and atoms, written as POSCAR:
```
SmDySc
1.0
-4.5034 -0.1034 2.7431
-1.1442 3.9186 3.3393
-3.8658 3.3989 -1.1483
Dy Sc Sm
1 1 1
Direct
0.2500 0.2500 0.2500
0.0000 0.0000 0.0000
0.7500 0.7500 0.7500
```

Uncorrected energy = -4.54 eV per atom
Space-group type = F-43m
ΔH_f (0 K) = 0.68 eV per atom
Excess energy over the best structure of this formula in the dataset = 0.00 kJ per mole of atoms

---

No. 8
DyScSn: optimized geometry, PBE.

Cell and atoms, written as POSCAR:
```
DyScSn
1.0
0.0000 3.5877 3.5877
3.5877 0.0000 3.5877
3.5877 3.5877 0.0000
Sc Sn Dy
1 1 1
Direct
0.2500 0.2500 0.2500
0.7500 0.7500 0.7500
0.0000 0.0000 0.0000
```

Uncorrected energy = -4.75 eV per atom
Space-group type = F-43m
Excess energy over the best structure of this formula in the dataset = 56.45 kJ per mole of atoms